[1]
TlVGa3 after structural relaxation. Source: the Alexandria database, functional PBE-GGA.

Structure (POSCAR):
```
TlVGa3
1.0
-3.287 2.773 2.396
-1.206 -3.857 2.811
3.461 1.290 3.255
Tl Ga V
1 3 1
Cartesian
-0.516 0.103 4.231
-0.603 -1.929 1.405
1.731 0.645 1.627
-1.643 1.387 1.198
0.000 0.000 0.000
```

- energy above the most stable polymorph in this dataset (eV per atom) = 0.0000

---

[2]
TlVGa2 after structural relaxation. Source: the Alexandria database, functional PBE-GGA.

Structure (POSCAR):
```
TlVGa2
1.0
-0.508 -4.801 0.482
-0.982 -1.911 4.350
-4.376 -1.900 0.883
Tl Ga V
1 2 1
Cartesian
-2.933 -4.306 2.857
-1.467 -2.153 1.429
-4.400 -6.458 4.286
0.000 0.000 0.000
```

- energy above the most stable polymorph in this dataset (eV per atom) = 0.2600

---

[3]
Tl3VGa after structural relaxation. Source: the Alexandria database, functional PBE-GGA.

Structure (POSCAR):
```
Tl3VGa
1.0
5.405 0.000 0.000
0.000 5.405 0.000
0.000 0.000 5.405
Tl Ga V
3 1 1
Cartesian
0.000 2.702 0.000
0.000 0.000 2.702
2.702 0.000 0.000
0.000 0.000 0.000
2.702 2.702 2.702
```

- energy above the most stable polymorph in this dataset (eV per atom) = 0.3188

---

[4]
TlV4Ga2 after structural relaxation. Source: the Alexandria database, functional PBE-GGA.

Structure (POSCAR):
```
TlV4Ga2
1.0
-0.943 4.142 -2.537
-0.746 -2.678 -4.094
-7.157 0.210 -1.823
Tl Ga V
1 2 4
Cartesian
0.000 0.000 0.000
-6.757 1.045 -5.433
-2.089 0.629 -3.021
-4.292 1.249 -6.016
-4.555 0.425 -2.438
-0.373 -1.339 -2.047
-0.471 2.071 -1.269
```

- final energy (eV per atom) = -5.11

---

[5]
Tl3VGa after structural relaxation. Source: the Alexandria database, functional PBE-GGA.

Structure (POSCAR):
```
Tl3VGa
1.0
-3.676 2.897 -2.473
-1.330 -4.197 -2.939
-3.569 -1.420 3.643
Tl Ga V
3 1 1
Cartesian
-0.665 -2.099 -1.470
-1.785 -0.710 1.821
-1.838 1.449 -1.237
-4.288 -1.360 -0.885
0.000 0.000 0.000
```

- energy above the most stable polymorph in this dataset (eV per atom) = 0.0000

---

[6]
TlVGa2 after structural relaxation. Source: the Alexandria database, functional PBE-GGA.

Structure (POSCAR):
```
TlVGa2
1.0
-0.973 -2.614 1.234
1.524 -2.591 -0.518
5.574 -0.103 7.946
Tl Ga V
1 2 1
Cartesian
0.000 0.000 0.000
4.000 -0.580 5.695
2.126 -4.729 2.967
3.063 -2.654 4.331
```

- energy above the most stable polymorph in this dataset (eV per atom) = 0.0000

---

[7]
TlVGa2 after structural relaxation. Source: the Alexandria database, functional PBE-GGA.

Structure (POSCAR):
```
TlVGa2
1.0
-2.215 5.224 5.232
-6.367 1.429 -4.122
-5.665 1.315 1.981
Tl Ga V
2 4 2
Cartesian
0.000 0.000 0.000
-6.086 4.933 3.884
-3.511 3.570 3.048
-5.758 2.077 -1.225
-7.713 3.536 1.743
-11.512 6.752 2.616
-4.291 3.326 0.555
-8.161 3.035 -0.793
```

- energy above the most stable polymorph in this dataset (eV per atom) = 0.2685

---

[8]
TlGaW after structural relaxation. Source: the Alexandria database, functional PBE-GGA.

Structure (POSCAR):
```
TlGaW
1.0
2.968 -0.002 0.001
-1.166 2.732 -0.001
-1.039 -1.229 15.409
Tl W Ga
2 2 2
Cartesian
1.830 0.745 6.033
-1.066 0.755 9.376
0.897 -0.548 14.396
-0.133 2.049 1.014
1.331 1.084 3.179
-0.567 0.416 12.231
```

- energy above the most stable polymorph in this dataset (eV per atom) = 0.1016